# BaAlPb2 (PBE, relaxed)
# **Calculated density**: 7550 kg/m3
# **Raw total energy**: -12.99 eV/cell
# **Space group**: No. 166
# **E_form**: 0.1 eV/f.u.
data_BaAlPb2
_chemical_formula_sum 'Ba1 Al1 Pb2'
_space_group_name_H-M_alt 'P 1'
_space_group_IT_number 1
_cell_length_a 10.552
_cell_length_b 10.552
_cell_length_c 10.552
_cell_angle_alpha 20.60
_cell_angle_beta 20.60
_cell_angle_gamma 20.60
loop_
_space_group_symop_operation_xyz
'x,y,z'
loop_
_atom_site_label
_atom_site_type_symbol
_atom_site_fract_x
_atom_site_fract_y
_atom_site_fract_z
Ba1 Ba 0.750 0.750 0.750
Pb1 Pb 0.515 0.515 0.515
Al1 Al 0.250 0.250 0.250
Pb2 Pb 0.985 0.985 0.985

# TaAl2Sb (PBE, relaxed)
# **Formation energy from raw total energies**: 40.9 kJ per mole of atoms
# **Calculated density**: 7713 kg/m3
# **Raw total energy**: -21.76 eV/cell
# **Space group**: No. 216
data_TaAl2Sb
_chemical_formula_sum 'Ta1 Al2 Sb1'
_space_group_name_H-M_alt 'P 1'
_space_group_IT_number 1
_cell_length_a 4.771
_cell_length_b 4.771
_cell_length_c 4.771
_cell_angle_alpha 60.00
_cell_angle_beta 60.00
_cell_angle_gamma 60.00
loop_
_space_group_symop_operation_xyz
'x,y,z'
loop_
_atom_site_label
_atom_site_type_symbol
_atom_site_fract_x
_atom_site_fract_y
_atom_site_fract_z
Sb1 Sb 0.500 0.500 0.500
Ta1 Ta 0.750 0.750 0.750
Al1 Al 0.250 0.250 0.250
Al2 Al 0.000 0.000 0.000

# Ti2NbAl5Pt2 (PBE, relaxed)
# **Calculated density**: 7257 kg/m3
# **Raw total energy**: -125.78 eV/cell
# **Space group**: No. 127
# **E_form**: -6.2 eV/f.u.
data_Ti2NbAl5Pt2
_chemical_formula_sum 'Ti4 Nb2 Al10 Pt4'
_space_group_name_H-M_alt 'P 1'
_space_group_IT_number 1
_cell_length_a 4.043
_cell_length_b 8.988
_cell_length_c 8.988
_cell_angle_alpha 90.00
_cell_angle_beta 90.00
_cell_angle_gamma 90.00
loop_
_space_group_symop_operation_xyz
'x,y,z'
loop_
_atom_site_label
_atom_site_type_symbol
_atom_site_fract_x
_atom_site_fract_y
_atom_site_fract_z
Pt1 Pt 0.000 0.368 0.132
Al1 Al 0.500 0.568 0.703
Al2 Al 0.500 0.797 0.932
Nb1 Nb 0.000 0.000 0.000
Ti1 Ti 0.000 0.166 0.334
Al3 Al 0.500 0.500 0.000
Al4 Al 0.500 0.203 0.068
Pt2 Pt 0.000 0.632 0.868
Al5 Al 0.500 0.932 0.203
Pt3 Pt 0.000 0.868 0.368
Al6 Al 0.500 0.297 0.568
Al7 Al 0.500 0.703 0.432
Ti2 Ti 0.000 0.334 0.834
Ti3 Ti 0.000 0.834 0.666
Nb2 Nb 0.000 0.500 0.500
Ti4 Ti 0.000 0.666 0.166
Al8 Al 0.500 0.068 0.797
Pt4 Pt 0.000 0.132 0.632
Al9 Al 0.500 0.000 0.500
Al10 Al 0.500 0.432 0.297

# Dy3Al (PBE, relaxed)
# **Calculated density**: 7316 kg/m3
# **Raw total energy**: -17.20 eV/cell
# **Space group**: No. 25
# **E_form**: 0.3 eV/f.u.
data_Dy3Al
_chemical_formula_sum 'Dy3 Al1'
_space_group_name_H-M_alt 'P 1'
_space_group_IT_number 1
_cell_length_a 3.356
_cell_length_b 3.385
_cell_length_c 10.281
_cell_angle_alpha 90.00
_cell_angle_beta 90.00
_cell_angle_gamma 90.00
loop_
_space_group_symop_operation_xyz
'x,y,z'
loop_
_atom_site_label
_atom_site_type_symbol
_atom_site_fract_x
_atom_site_fract_y
_atom_site_fract_z
Al1 Al 0.000 0.000 0.974
Dy1 Dy 0.500 0.500 0.166
Dy2 Dy 0.000 0.500 0.471
Dy3 Dy 0.500 0.000 0.723